<1>
# SrB3P (PBE, relaxed)
# Space-group type: Pm-3m
data_SrB3P
_cell_length_a 4.062
_cell_length_b 4.062
_cell_length_c 4.062
_cell_angle_alpha 90.00
_cell_angle_beta 90.00
_cell_angle_gamma 90.00
_symmetry_space_group_name_H-M 'P 1'
_symmetry_Int_Tables_number 1
_symmetry_space_group_name_Hall 'P 1'
loop_
_atom_site_label
_atom_site_type_symbol
_atom_site_fract_x
_atom_site_fract_y
_atom_site_fract_z
Sr1 Sr 0.000 0.000 0.000
B1 B 0.000 0.500 0.500
B2 B 0.500 0.000 0.500
B3 B 0.500 0.500 0.000
P1 P 0.500 0.500 0.500

<2>
# SrB3P (PBE, relaxed)
# Space-group type: Pm-3m
data_SrB3P
_cell_length_a 4.884
_cell_length_b 4.884
_cell_length_c 4.884
_cell_angle_alpha 90.00
_cell_angle_beta 90.00
_cell_angle_gamma 90.00
_symmetry_space_group_name_H-M 'P 1'
_symmetry_Int_Tables_number 1
_symmetry_space_group_name_Hall 'P 1'
loop_
_atom_site_label
_atom_site_type_symbol
_atom_site_fract_x
_atom_site_fract_y
_atom_site_fract_z
Sr1 Sr 0.000 0.000 0.000
B1 B 0.000 0.000 0.500
B2 B 0.000 0.500 0.000
B3 B 0.500 0.000 0.000
P1 P 0.500 0.500 0.500

Top of the stability list: <1>, leading by 2.042 eV/atom.

<1>
# Sr2BP (PBE, relaxed)
# Space-group type: Fm-3m
data_Sr2BP
_cell_length_a 5.133
_cell_length_b 5.133
_cell_length_c 5.133
_cell_angle_alpha 60.00
_cell_angle_beta 60.00
_cell_angle_gamma 60.00
_symmetry_space_group_name_H-M 'P 1'
_symmetry_Int_Tables_number 1
_symmetry_space_group_name_Hall 'P 1'
loop_
_atom_site_label
_atom_site_type_symbol
_atom_site_fract_x
_atom_site_fract_y
_atom_site_fract_z
Sr1 Sr 0.250 0.250 0.250
Sr2 Sr 0.750 0.750 0.750
B1 B 0.000 0.000 0.000
P1 P 0.500 0.500 0.500

<2>
# Sr2BP (PBE, relaxed)
# Space-group type: I-42d
data_Sr2BP
_cell_length_a 6.650
_cell_length_b 6.650
_cell_length_c 6.650
_cell_angle_alpha 107.72
_cell_angle_beta 107.72
_cell_angle_gamma 113.03
_symmetry_space_group_name_H-M 'P 1'
_symmetry_Int_Tables_number 1
_symmetry_space_group_name_Hall 'P 1'
loop_
_atom_site_label
_atom_site_type_symbol
_atom_site_fract_x
_atom_site_fract_y
_atom_site_fract_z
Sr1 Sr 0.115 0.125 0.490
Sr2 Sr 0.375 0.885 0.010
Sr3 Sr 0.635 0.625 0.510
Sr4 Sr 0.875 0.365 0.990
B1 B 0.000 0.000 0.000
B2 B 0.750 0.250 0.500
P1 P 0.250 0.750 0.500
P2 P 0.500 0.500 0.000

Top of the stability list: <1>, leading by 0.212 eV/atom.

<1>
# SrBP3 (PBE, relaxed)
# Space-group type: Pm-3m
data_SrBP3
_cell_length_a 5.484
_cell_length_b 5.484
_cell_length_c 5.484
_cell_angle_alpha 90.00
_cell_angle_beta 90.00
_cell_angle_gamma 90.00
_symmetry_space_group_name_H-M 'P 1'
_symmetry_Int_Tables_number 1
_symmetry_space_group_name_Hall 'P 1'
loop_
_atom_site_label
_atom_site_type_symbol
_atom_site_fract_x
_atom_site_fract_y
_atom_site_fract_z
Sr1 Sr 0.000 0.000 0.000
B1 B 0.500 0.500 0.500
P1 P 0.000 0.000 0.500
P2 P 0.000 0.500 0.000
P3 P 0.500 0.000 0.000

<2>
# SrBP3 (PBE, relaxed)
# Space-group type: Pm-3m
data_SrBP3
_cell_length_a 4.433
_cell_length_b 4.433
_cell_length_c 4.433
_cell_angle_alpha 90.00
_cell_angle_beta 90.00
_cell_angle_gamma 90.00
_symmetry_space_group_name_H-M 'P 1'
_symmetry_Int_Tables_number 1
_symmetry_space_group_name_Hall 'P 1'
loop_
_atom_site_label
_atom_site_type_symbol
_atom_site_fract_x
_atom_site_fract_y
_atom_site_fract_z
Sr1 Sr 0.000 0.000 0.000
B1 B 0.500 0.500 0.500
P1 P 0.000 0.500 0.500
P2 P 0.500 0.000 0.500
P3 P 0.500 0.500 0.000

Top of the stability list: <2>, leading by 1.901 eV/atom.